An optimized crystal structure of Tb5DyCu6. Source: Alexandria, functional PBE.

Cell: 4.9456 6.9022 7.8274 Å, 90.00 71.39 90.00°
Sites, in units of the cell vectors:
Cu: 0.5001 0.2481 0.0000
Tb: 0.0000 0.5000 0.0000
Cu: 0.1657 0.2496 0.6686
Tb: 0.3331 0.5000 0.3337
Cu: 0.8343 0.7504 0.3314
Cu: 0.8343 0.2496 0.3314
Cu: 0.4999 0.7519 0.0000
Tb: 0.6666 0.0000 0.6669
Tb: 0.3334 0.0000 0.3331
Cu: 0.1657 0.7504 0.6686
Dy: 0.0000 0.0000 0.0000
Tb: 0.6669 0.5000 0.6663

Properties
The value obtained for the calculated formation energy is -0.244 eV per atom. The crystal system is monoclinic. As for the total energy: -4.605 eV per atom.